K2SiRu: optimized geometry, PBE.

Lattice parameters (Å, degrees): 6.5018 6.5018 6.5018 147.22 127.77 63.05
Atoms (fractional coordinates):
K  0.9685  0.9685  0.0000
K  0.2706  0.7706  0.5000
Ru  0.5719  0.5719  0.0000
Si  0.6890  0.1890  0.5000

Summary:
DFT total energy	-3.876	eV per atom
magnetic moment	0.0	Bohr magnetons per cell

---

Nd7Ho12Mg: optimized geometry, PBE.

Lattice parameters (Å, degrees): 8.7400 8.7400 8.7400 86.22 86.22 86.22
Atoms (fractional coordinates):
Nd  0.8486  0.6024  0.9169
Nd  0.3976  0.0831  0.1514
Nd  0.0831  0.1514  0.3976
Nd  0.5000  0.5000  0.5000
Nd  0.9169  0.8486  0.6024
Nd  0.6024  0.9169  0.8486
Nd  0.1514  0.3976  0.0831
Ho  0.8588  0.2467  0.7377
Ho  0.7533  0.2623  0.1412
Ho  0.6131  0.1383  0.5003
Ho  0.8617  0.4997  0.3869
Ho  0.2623  0.1412  0.7533
Ho  0.4997  0.3869  0.8617
Ho  0.5003  0.6131  0.1383
Ho  0.7377  0.8588  0.2467
Ho  0.1383  0.5003  0.6131
Ho  0.3869  0.8617  0.4997
Ho  0.2467  0.7377  0.8588
Ho  0.1412  0.7533  0.2623
Mg  0.0000  0.0000  0.0000

Summary:
magnetic moment	0.0	Bohr magnetons per cell
energy relative to the elements	0.2027	eV per atom

---

Taking the records one at a time from the top gives DOS at the Fermi energy values of 0.60; 1.55 states/eV/atom.